[1]
Below is ThFe4Si2 after structural relaxation, with properties calculated at the PBE level.

total energy	-7.831	eV per atom
D(E_F)	12.16	states/eV per cell
energy relative to the elements, uncorrected	-8.9	kcal/mol of atoms

The structure in extended XYZ format:
```
14
Lattice="-3.3959 -1.3906 -0.6420 2.1552 -6.4477 2.5655 -2.0688 1.9673 6.6820" Properties=species:S:1:pos:R:3 pbc="T T T"
Fe 0.5975 -2.1255 1.4431
Si -1.1324 0.1018 5.7695
Fe 0.6464 -4.6610 6.6764
Th 0.0432 -2.2402 4.6238
Si -1.6356 -3.9287 6.3528
Si -1.6739 -1.9423 2.2528
Fe -0.5111 -2.3549 7.8044
Fe -2.5834 -0.4952 3.9291
Fe -2.5597 -1.7230 6.4633
Si 1.2188 -4.5822 3.4781
Fe -0.7498 -4.1480 2.1422
Fe -0.7262 -5.3758 4.6764
Th -1.6980 -0.6953 -0.3210
Fe -0.5600 0.1806 2.5712
```

---

[2]
Below is ThFe4Si4 after structural relaxation, with properties calculated at the PBE level.

total energy	-7.417	eV per atom
D(E_F)	12.59	states/eV per cell
energy relative to the elements, uncorrected	-9.7	kcal/mol of atoms

The structure in extended XYZ format:
```
18
Lattice="4.4284 0.0000 0.0000 0.0000 7.6581 0.0000 0.0000 0.0000 7.6581" Properties=species:S:1:pos:R:3 pbc="T T T"
Fe 2.5683 6.6278 4.7920
Fe 1.8601 4.7920 1.0303
Si 0.3253 1.5195 2.7172
Fe 1.8601 2.8661 6.6278
Th 2.2142 3.8291 3.8291
Si 2.5394 6.5462 2.3095
Fe 4.0743 4.8593 6.6951
Fe 0.3541 6.6951 2.7988
Fe 4.0743 2.7988 0.9630
Th 0.0000 0.0000 0.0000
Si 4.1031 2.7172 6.1386
Fe 2.5683 1.0303 2.8661
Si 2.5394 1.1119 5.3486
Si 4.1031 4.9409 1.5195
Si 1.8889 2.3095 1.1119
Si 1.8889 5.3486 6.5462
Fe 0.3541 0.9630 4.8593
Si 0.3253 6.1386 4.9409
```

---

[3]
Below is Th2FeSi3 after structural relaxation, with properties calculated at the PBE level.

total energy	-7.310	eV per atom
excess energy over the best structure of this formula in the dataset	0	meV/atom
D(E_F)	8.45	states/eV per cell
energy relative to the elements, uncorrected	-16.5	kcal/mol of atoms

The structure in extended XYZ format:
```
12
Lattice="-2.4817 4.7409 -2.3484 -2.9247 -3.2644 -3.8653 -2.6176 -1.2960 7.6039" Properties=species:S:1:pos:R:3 pbc="T T T"
Si -3.7262 -1.3321 -2.7087
Si -4.2978 1.5126 4.0990
Fe -4.4611 0.5540 -1.6211
Th -1.3905 0.3798 -1.5981
Si -4.5164 -2.4365 3.3506
Th -3.9013 2.0916 1.0743
Th -4.1227 -1.9110 0.3159
Si -3.5076 2.6171 -1.9604
Si -6.1885 0.3729 -0.1611
Si -1.8355 -0.1924 1.5513
Th -4.0160 1.0968 -4.6156
Fe -3.5630 -0.3735 3.0113
```